! PBE Cd2PAu2, relaxed; values from VASP
&SYSTEM
  ibrav = 0, nat = 10, ntyp = 3
/
ATOMIC_SPECIES
P 30.97 P.upf
Au 196.97 Au.upf
Cd 112.41 Cd.upf
CELL_PARAMETERS angstrom
-2.835 -5.514 -3.008
3.650 1.239 -5.712
3.153 -2.432 1.487
ATOMIC_POSITIONS angstrom
P 0.000 0.000 0.000
P 0.408 -2.137 -4.360
Au 2.109 -0.871 -5.897
Au -0.029 -3.873 -6.273
Au -1.294 -3.403 -2.823
Au 0.844 -0.401 -2.447
Cd 3.529 -1.263 -3.473
Cd 2.798 -3.787 -6.051
Cd 0.440 -5.443 -3.760
Cd 1.171 -2.920 -1.182
! ΔE to the lowest computed polymorph (meV per atom): 0

! PBE CdPAu2, relaxed; values from VASP
&SYSTEM
  ibrav = 0, nat = 4, ntyp = 3
/
ATOMIC_SPECIES
Au 196.97 Au.upf
Cd 112.41 Cd.upf
P 30.97 P.upf
CELL_PARAMETERS angstrom
4.181 0.000 0.000
0.000 4.183 0.000
0.000 0.000 4.182
ATOMIC_POSITIONS angstrom
Au 0.000 0.000 0.000
Au 2.091 2.092 0.000
Cd 2.091 0.000 2.091
P 0.000 2.092 2.091
! ΔE to the lowest computed polymorph (meV per atom): 107

! PBE CdPAu2, relaxed; values from VASP
&SYSTEM
  ibrav = 0, nat = 4, ntyp = 3
/
ATOMIC_SPECIES
Au 196.97 Au.upf
Cd 112.41 Cd.upf
P 30.97 P.upf
CELL_PARAMETERS angstrom
-7.423 -3.679 0.838
-5.449 -5.893 2.217
-6.517 -3.341 3.963
ATOMIC_POSITIONS angstrom
Au -0.184 -0.122 0.066
Au -9.511 -6.334 3.443
Cd -4.847 -3.228 1.755
P -14.542 -9.685 5.264
! ΔE to the lowest computed polymorph (meV per atom): 86

! PBE CdPAu2, relaxed; values from VASP
&SYSTEM
  ibrav = 0, nat = 4, ntyp = 3
/
ATOMIC_SPECIES
Au 196.97 Au.upf
Cd 112.41 Cd.upf
P 30.97 P.upf
CELL_PARAMETERS angstrom
4.887 0.000 0.000
0.000 3.003 -0.002
0.000 3.008 5.141
ATOMIC_POSITIONS angstrom
Au 0.000 4.884 4.818
Au 2.444 1.879 1.592
Cd 0.000 3.380 2.275
P 2.444 4.884 4.163
! ΔE to the lowest computed polymorph (meV per atom): 18

A plane-wave DFT calculation with PBE was carried out for an optimized crystal structure of Cd4PAu. Values from VASP.

```
&SYSTEM
  ibrav = 0, nat = 6, ntyp = 3
/
ATOMIC_SPECIES
Cd 112.41 Cd.upf
P 30.97 P.upf
Au 196.97 Au.upf
CELL_PARAMETERS angstrom
-0.549 -5.655 0.047
-2.410 -2.583 4.450
-5.142 -2.360 -0.527
ATOMIC_POSITIONS angstrom
Cd -3.313 -6.800 1.513
Cd -5.607 -5.154 1.227
Cd -4.243 -5.266 3.712
Cd -3.039 -3.976 1.490
P -6.076 -7.949 2.978
Au 0.000 0.000 0.000
```

! PBE CdPAu2, relaxed; values from VASP
&SYSTEM
  ibrav = 0, nat = 4, ntyp = 3
/
ATOMIC_SPECIES
Au 196.97 Au.upf
Cd 112.41 Cd.upf
P 30.97 P.upf
CELL_PARAMETERS angstrom
-4.095 -1.983 1.903
4.999 -1.894 2.318
0.416 1.662 2.478
ATOMIC_POSITIONS angstrom
Au 0.000 0.000 0.000
Au -1.839 -0.161 2.191
Cd 2.708 -0.116 2.398
P 0.452 -1.938 2.111
! ΔE to the lowest computed polymorph (meV per atom): 169

| no. | DOS at the Fermi energy (states/eV/atom) | ΔH_f (0 K) (meV/atom) |
| --- | --- | --- |
| 1 | 0.4479 | 93 |
| 2 | 0.2031 | 156 |
| 3 | 0.2729 | 135 |
| 4 | 0.1982 | 67 |
| 5 | 0.7922 | 368 |
| 6 | 0.3577 | 218 |